No. 1
VASP calculation (PBE-GGA) on a relaxed AsIrCl2 crystal.

Raw formation energy: -0.19 eV per atom
Crystal system: monoclinic
Energy relative to the lowest polymorph listed for this composition: 281 meV per atom

The structure in extended XYZ format:
```
4
Lattice="4.641 0.000 0.000 0.000 3.572 0.000 -1.643 0.000 5.386" Properties=species:S:1:pos:R:3 pbc="T T T"
As 0.000 0.000 0.000
Ir 2.753 1.786 3.841
Cl 0.465 1.786 3.268
Cl 2.723 0.000 1.516
```

=====

No. 2
VASP calculation (PBE-GGA) on a relaxed AcTmRuRh crystal.

ΔH_f (0 K): -0.38 eV/atom
Crystal system: cubic

The structure in extended XYZ format:
```
4
Lattice="0.000 3.533 3.533 3.533 0.000 3.533 3.533 3.533 0.000" Properties=species:S:1:pos:R:3 pbc="T T T"
Ac 0.000 0.000 0.000
Tm 3.533 3.533 3.533
Ru 1.766 1.766 1.766
Rh 5.299 5.299 5.299
```

=====

No. 3
VASP calculation (PBE-GGA) on a relaxed TaCo2Hg crystal.

ΔH_f (0 K): 0.22 eV/atom
Crystal system: orthorhombic

The structure in extended XYZ format:
```
4
Lattice="2.860 0.000 0.000 0.000 3.245 0.000 0.000 0.000 6.564" Properties=species:S:1:pos:R:3 pbc="T T T"
Ta 0.000 0.000 0.000
Co 0.000 0.000 2.559
Co 1.430 1.622 1.525
Hg 1.430 1.622 4.364
```

=====

No. 4
VASP calculation (PBE-GGA) on a relaxed Dy2Er3Ir2 crystal.

ΔH_f (0 K): -0.65 eV/atom
Crystal system: monoclinic

The structure in extended XYZ format:
```
7
Lattice="5.976 -1.912 0.000 5.976 1.912 0.000 -3.882 0.000 7.894" Properties=species:S:1:pos:R:3 pbc="T T T"
Dy 0.801 0.000 2.421
Dy 7.269 0.000 5.473
Er 4.284 0.000 0.543
Er 4.035 0.000 3.947
Er 3.785 0.000 7.352
Ir -0.757 0.000 5.812
Ir 8.826 0.000 2.082
```

=====

No. 5
VASP calculation (PBE-GGA) on a relaxed Dy6ZnHg3 crystal.

ΔH_f (0 K): -0.32 eV/atom
Crystal system: monoclinic

The structure in extended XYZ format:
```
20
Lattice="9.187 0.000 0.000 0.000 5.191 0.000 -3.412 0.000 10.995" Properties=species:S:1:pos:R:3 pbc="T T T"
Dy -1.164 1.298 4.423
Dy 0.871 3.893 1.942
Dy 2.431 1.298 0.089
Dy 0.407 3.893 9.134
Dy 2.276 1.298 3.757
Dy 1.402 1.298 6.873
Dy 4.373 3.893 4.122
Dy 3.499 3.893 7.239
Dy 5.368 1.298 1.861
Dy 3.343 3.893 10.906
Dy 4.904 1.298 9.054
Dy 6.939 3.893 6.572
Zn 3.794 3.893 1.224
Zn 1.980 1.298 9.772
Hg -2.771 3.893 9.684
Hg -1.348 1.298 8.001
Hg 0.937 3.893 5.173
Hg 4.838 1.298 5.822
Hg 7.123 3.893 2.994
Hg 8.546 1.298 1.311
```

=====

No. 6
VASP calculation (PBE-GGA) on a relaxed PuBe3H9 crystal.

Uncorrected energy: -113.023 eV for the cell shown
Crystal system: orthorhombic

The structure in extended XYZ format:
```
26
Lattice="3.717 -5.029 0.000 3.717 5.029 0.000 0.000 0.000 6.581" Properties=species:S:1:pos:R:3 pbc="T T T"
Pu 1.190 0.000 0.000
Pu 6.244 0.000 3.290
Be 1.830 0.000 3.290
Be 3.584 1.749 3.667
Be 3.851 1.749 6.204
Be 3.584 -1.749 2.914
Be 3.851 -1.749 0.377
Be 5.604 0.000 0.000
H 0.858 0.270 4.333
H 0.858 -0.270 2.247
H 3.408 3.132 3.745
H 2.655 1.561 0.340
H 2.535 1.159 2.865
H 4.026 3.132 6.126
H 3.717 1.001 4.935
H 2.535 -1.159 3.716
H 4.779 1.561 2.950
H 2.655 -1.561 6.240
H 4.899 1.159 0.426
H 3.717 -1.001 1.645
H 3.408 -3.132 2.835
H 4.899 -1.159 6.155
H 4.779 -1.561 3.631
H 4.026 -3.132 0.455
H 6.577 0.270 5.538
H 6.577 -0.270 1.043
```

=====

No. 7
VASP calculation (PBE-GGA) on a relaxed KW2 crystal.

ΔH_f (0 K): 3.29 eV/atom
Crystal system: cubic
Energy relative to the lowest polymorph listed for this composition: 2297 meV per atom

The structure in extended XYZ format:
```
12
Lattice="7.627 0.000 0.000 0.000 7.627 0.000 0.000 0.000 7.627" Properties=species:S:1:pos:R:3 pbc="T T T"
K 0.000 0.000 0.000
K 0.000 3.813 3.813
K 3.813 0.000 3.813
K 3.813 3.813 0.000
W 0.605 4.418 7.022
W 0.605 7.022 3.209
W 3.209 0.605 7.022
W 3.209 3.209 3.209
W 4.418 4.418 4.418
W 4.418 7.022 0.605
W 7.022 0.605 4.418
W 7.022 3.209 0.605
```

=====

No. 8
VASP calculation (PBE-GGA) on a relaxed Pr8Se3S4Cl crystal.

Raw formation energy: -1.89 eV per atom
Crystal system: trigonal

The structure in extended XYZ format:
```
16
Lattice="4.179 2.413 6.855 -4.179 2.413 6.855 0.000 -4.826 6.855" Properties=species:S:1:pos:R:3 pbc="T T T"
Pr 0.000 0.000 4.975
Pr -2.026 -1.170 11.797
Pr 0.000 -2.339 8.767
Pr -2.026 1.170 8.767
Pr 2.026 -1.170 11.797
Pr 0.000 2.339 11.797
Pr 2.026 1.170 8.767
Pr 0.000 0.000 15.589
Se -2.090 -1.206 6.855
Se -2.090 1.206 13.709
Se 0.000 2.413 6.855
S -4.179 0.000 10.282
S -2.090 1.206 3.427
S 2.090 1.206 3.427
S 0.000 0.000 10.282
Cl 0.000 0.000 0.000
```

=====

No. 9
VASP calculation (PBE-GGA) on a relaxed SrCd2Pd2 crystal.

ΔH_f (0 K): -0.48 eV/atom
Crystal system: triclinic
Energy relative to the lowest polymorph listed for this composition: 0 meV per atom

The structure in extended XYZ format:
```
10
Lattice="5.712 0.000 0.000 -2.816 6.333 0.000 -2.853 -1.651 6.782" Properties=species:S:1:pos:R:3 pbc="T T T"
Sr -0.798 1.174 1.692
Sr 0.842 3.508 5.090
Cd -2.006 1.073 5.307
Cd -0.801 5.070 1.921
Cd 0.845 -0.388 4.860
Cd 2.049 3.608 1.475
Pd -2.014 3.404 3.698
Pd 2.055 1.070 0.312
Pd -2.011 3.612 6.470
Pd 2.058 1.278 3.084
```

=====

No. 10
VASP calculation (PBE-GGA) on a relaxed BaSrHN crystal.

Uncorrected energy: -17.439 eV for the cell shown
Crystal system: trigonal

The structure in extended XYZ format:
```
4
Lattice="1.938 1.119 6.794 -1.938 1.119 6.794 0.000 -2.238 6.794" Properties=species:S:1:pos:R:3 pbc="T T T"
Ba 0.000 0.000 0.000
Sr 0.000 0.000 16.509
H 0.000 0.000 4.647
N 0.000 0.000 8.324
```

=====

No. 11
VASP calculation (PBE-GGA) on a relaxed KBeAs crystal.

ΔH_f (0 K): 0.16 eV/atom
Crystal system: tetragonal

The structure in extended XYZ format:
```
3
Lattice="-1.723 1.723 5.924 1.723 -1.723 5.924 1.723 1.723 -5.924" Properties=species:S:1:pos:R:3 pbc="T T T"
K 0.000 0.000 0.000
Be 0.000 0.000 8.872
As 0.000 0.000 3.222
```

=====

No. 12
VASP calculation (PBE-GGA) on a relaxed Ca2YHo crystal.

ΔH_f (0 K): 0.13 eV/atom
Crystal system: trigonal
Energy relative to the lowest polymorph listed for this composition: 0 meV per atom

The structure in extended XYZ format:
```
4
Lattice="1.831 1.057 12.287 -1.831 1.057 12.287 0.000 -2.114 12.287" Properties=species:S:1:pos:R:3 pbc="T T T"
Ca 0.000 0.000 0.000
Ca 0.000 0.000 6.074
Y 0.000 0.000 21.466
Ho 0.000 0.000 15.330
```